1.
LaHfTiCu2 PBE relaxed; calculated formation energy = 1367 meV/atom; density = 7.0 g cm⁻³; total moment = 0.00 μB/atom; space group = No. 123; E_tot = -4.83 eV/atom
1.0
4.883 0.000 0.000
0.000 4.883 0.000
0.000 0.000 4.879
La Hf Ti Cu
1 1 1 2
Cartesian
0.000 0.000 0.000
2.441 2.441 2.439
0.000 0.000 2.439
0.000 2.441 0.000
2.441 0.000 0.000

---

2.
LaHfVCu2 PBE relaxed; calculated formation energy = 1898 meV/atom; density = 6.6 g cm⁻³; total moment = 0.01 μB/atom; space group = No. 123; E_tot = -4.54 eV/atom
1.0
4.845 0.000 0.000
0.000 4.845 0.000
0.000 0.000 5.339
La Hf V Cu
1 1 1 2
Cartesian
0.000 0.000 0.000
0.000 0.000 2.669
2.422 2.422 2.669
0.000 2.422 0.000
2.422 0.000 0.000

---

3.
LaHfZr2Cu PBE relaxed; calculated formation energy = 723 meV/atom; density = 6.9 g cm⁻³; total moment = 0.00 μB/atom; space group = No. 123; E_tot = -6.49 eV/atom
1.0
5.195 0.000 0.000
0.000 5.195 0.000
0.000 0.000 5.049
La Hf Zr Cu
1 1 2 1
Cartesian
0.000 0.000 0.000
2.597 2.597 2.524
0.000 2.597 2.524
2.597 0.000 2.524
2.597 2.597 0.000

---

4.
LiHfCu2 PBE relaxed; calculated formation energy = -26 meV/atom; density = 8.7 g cm⁻³; total moment = 0.00 μB/atom; space group = No. 225; E_tot = -5.04 eV/atom; E above lowest polymorph = 0.004 eV/atom
1.0
0.000 3.107 3.107
3.107 0.000 3.107
3.107 3.107 0.000
Li Hf Cu
1 1 2
Cartesian
0.000 0.000 0.000
3.107 3.107 3.107
1.553 1.553 1.553
4.660 4.660 4.660

---

5.
LiHfCu3 PBE relaxed; calculated formation energy = 1009 meV/atom; density = 5.1 g cm⁻³; total moment = 0.00 μB/atom; space group = No. 221; E_tot = -3.82 eV/atom; E above lowest polymorph = 0.663 eV/atom
1.0
4.957 0.000 0.000
0.000 4.957 0.000
0.000 0.000 4.957
Li Hf Cu
1 1 3
Cartesian
0.000 0.000 0.000
2.479 2.479 2.479
0.000 2.479 2.479
2.479 0.000 2.479
2.479 2.479 0.000

---

6.
LiHf2Cu2 PBE relaxed; calculated formation energy = 119 meV/atom; density = 9.2 g cm⁻³; total moment = 0.00 μB/atom; space group = No. 127; E_tot = -5.88 eV/atom; E above lowest polymorph = 0.099 eV/atom
1.0
7.863 0.000 0.000
0.000 7.863 0.000
0.000 0.000 2.862
Li Hf Cu
2 4 4
Cartesian
0.000 0.000 0.000
3.932 3.932 0.000
1.277 2.655 0.000
2.655 6.586 0.000
5.208 1.277 0.000
6.586 5.208 0.000
1.037 4.969 1.431
2.894 1.037 1.431
4.969 6.826 1.431
6.826 2.894 1.431

---

7.
Li2HfCu PBE relaxed; calculated formation energy = 454 meV/atom; density = 6.3 g cm⁻³; total moment = 0.00 μB/atom; space group = No. 122; E_tot = -4.02 eV/atom; E above lowest polymorph = 0.202 eV/atom
1.0
-3.596 3.596 2.625
3.596 -3.596 2.625
3.596 3.596 -2.625
Li Hf Cu
4 2 2
Cartesian
5.393 1.453 -0.656
1.453 1.798 0.656
-1.798 2.143 1.969
2.143 1.798 3.281
3.596 0.000 1.313
0.000 0.000 2.625
0.000 0.000 0.000
0.000 3.596 1.313

---

8.
Li2HfCu9 PBE relaxed; calculated formation energy = -29 meV/atom; density = 7.6 g cm⁻³; total moment = 0.00 μB/atom; space group = No. 166; E_tot = -4.25 eV/atom
1.0
2.421 1.398 8.177
-2.421 1.398 8.177
0.000 -2.796 8.177
Li Hf Cu
2 1 9
Cartesian
0.000 0.000 3.588
0.000 0.000 20.942
0.000 0.000 0.000
-1.213 -0.700 10.239
0.000 0.000 8.160
0.000 -1.401 14.291
-1.213 0.700 14.291
0.000 0.000 12.265
1.213 -0.700 10.239
0.000 1.401 10.239
0.000 0.000 16.369
1.213 0.700 14.291

---

9.
LiHfCu2 PBE relaxed; calculated formation energy = 347 meV/atom; density = 8.4 g cm⁻³; total moment = 0.11 μB/atom; space group = No. 122; E_tot = -4.67 eV/atom; E above lowest polymorph = 0.377 eV/atom
1.0
-3.430 3.430 2.620
3.430 -3.430 2.620
3.430 3.430 -2.620
Li Hf Cu
2 2 4
Cartesian
0.000 0.000 0.000
0.000 3.430 1.310
3.430 0.000 1.310
0.000 0.000 2.620
5.146 1.452 -0.655
1.452 1.715 0.655
-1.715 1.978 1.965
1.978 1.715 3.275

---

10.
LiHfCu4 PBE relaxed; calculated formation energy = 133 meV/atom; density = 8.5 g cm⁻³; total moment = 0.00 μB/atom; space group = No. 47; E_tot = -4.58 eV/atom; E above lowest polymorph = 0.222 eV/atom
1.0
2.611 0.000 0.000
0.000 4.291 0.000
0.000 0.000 7.709
Li Hf Cu
1 1 4
Cartesian
0.000 0.000 0.000
1.306 2.146 3.854
0.000 2.146 1.353
0.000 2.146 6.356
1.306 0.000 2.239
1.306 0.000 5.469

---

11.
Li2HfCu PBE relaxed; calculated formation energy = 251 meV/atom; density = 6.1 g cm⁻³; total moment = 0.00 μB/atom; space group = No. 166; E_tot = -4.22 eV/atom; E above lowest polymorph = 0.000 eV/atom
1.0
1.422 0.821 9.897
-1.422 0.821 9.897
0.000 -1.643 9.897
Li Hf Cu
2 1 1
Cartesian
0.000 0.000 2.877
0.000 0.000 26.813
0.000 0.000 0.000
0.000 0.000 14.845

---

12.
Li3HfCu PBE relaxed; calculated formation energy = 607 meV/atom; density = 5.1 g cm⁻³; total moment = 0.00 μB/atom; space group = No. 221; E_tot = -3.35 eV/atom; E above lowest polymorph = 0.000 eV/atom
1.0
4.412 0.000 0.000
0.000 4.412 0.000
0.000 0.000 4.412
Li Hf Cu
3 1 1
Cartesian
0.000 0.000 2.206
0.000 2.206 0.000
2.206 0.000 0.000
2.206 2.206 2.206
0.000 0.000 0.000

---

total moment of number 1 (LaHfTiCu2)? 0.00 μB/atom

---

total moment of number 8 (Li2HfCu9)? 0.00 μB/atom

---

Look up the E_tot of the eleventh one. -4.22 eV/atom